# Tb2SmCd5, optimized geometry, DFT PBE
# * Fermi-level density of states: 3.80 states/eV/f.u.
# * ρ: 8.47 g cm⁻³
# * DFT formation energy: -243 kJ/mol of formula units
# * calculated volume: 201.91 Å³ per cell
data_Tb2SmCd5
_chemical_formula_sum 'Tb2 Sm1 Cd5'
_space_group_name_H-M_alt 'P 1'
_space_group_IT_number 1
_cell_length_a 5.172
_cell_length_b 5.172
_cell_length_c 8.388
_cell_angle_alpha 107.95
_cell_angle_beta 107.95
_cell_angle_gamma 90.00
loop_
_space_group_symop_operation_xyz
'x,y,z'
loop_
_atom_site_label
_atom_site_fract_x
_atom_site_fract_y
_atom_site_fract_z
Tb1 0.737 0.737 0.475
Tb2 0.263 0.263 0.525
Sm1 0.000 0.000 0.000
Cd1 0.500 0.500 0.000
Cd2 0.879 0.379 0.758
Cd3 0.379 0.879 0.758
Cd4 0.121 0.621 0.242
Cd5 0.621 0.121 0.242

# Tb4Sm3Cd, optimized geometry, DFT PBE
# * Fermi-level density of states: 11.31 states/eV/f.u.
# * ρ: 7.93 g cm⁻³
# * DFT formation energy: -14 kJ/mol of formula units
# * calculated volume: 502.36 Å³ per cell
# * energy above the most stable polymorph in this dataset: 49 meV/atom
data_Tb4Sm3Cd
_chemical_formula_sum 'Tb8 Sm6 Cd2'
_space_group_name_H-M_alt 'P 1'
_space_group_IT_number 1
_cell_length_a 5.354
_cell_length_b 8.611
_cell_length_c 10.896
_cell_angle_alpha 90.00
_cell_angle_beta 90.00
_cell_angle_gamma 90.00
loop_
_space_group_symop_operation_xyz
'x,y,z'
loop_
_atom_site_label
_atom_site_fract_x
_atom_site_fract_y
_atom_site_fract_z
Tb1 0.064 0.885 0.000
Tb2 0.564 0.155 0.000
Tb3 0.064 0.136 0.251
Tb4 0.564 0.864 0.249
Tb5 0.064 0.845 0.500
Tb6 0.564 0.115 0.500
Tb7 0.564 0.864 0.751
Tb8 0.064 0.136 0.749
Sm1 0.564 0.603 0.000
Sm2 0.064 0.606 0.219
Sm3 0.564 0.394 0.281
Sm4 0.064 0.397 0.500
Sm5 0.564 0.394 0.719
Sm6 0.064 0.606 0.781
Cd1 0.064 0.350 0.000
Cd2 0.564 0.650 0.500

# TbSm7Cd2, optimized geometry, DFT PBE
# * Fermi-level density of states: 19.25 states/eV/f.u.
# * ρ: 6.19 g cm⁻³
# * DFT formation energy: 378 kJ/mol of formula units
# * calculated volume: 385.56 Å³ per cell
data_TbSm7Cd2
_chemical_formula_sum 'Tb1 Sm7 Cd2'
_space_group_name_H-M_alt 'P 1'
_space_group_IT_number 1
_cell_length_a 5.316
_cell_length_b 9.219
_cell_length_c 9.219
_cell_angle_alpha 121.43
_cell_angle_beta 90.00
_cell_angle_gamma 90.00
loop_
_space_group_symop_operation_xyz
'x,y,z'
loop_
_atom_site_label
_atom_site_fract_x
_atom_site_fract_y
_atom_site_fract_z
Tb1 0.000 0.000 0.000
Sm1 0.000 0.778 0.222
Sm2 0.000 0.222 0.778
Sm3 0.500 0.067 0.299
Sm4 0.500 0.933 0.701
Sm5 0.500 0.299 0.067
Sm6 0.500 0.701 0.933
Sm7 0.500 0.500 0.500
Cd1 0.500 0.697 0.303
Cd2 0.500 0.303 0.697